Below is a geometry-optimized Cr2Hg2PdS6 structure, with properties calculated at the GGA-PBE level.

Summary:
Calculated total energy = -4.867 eV/atom
Space group = C2/m

a b c (Å): 5.884 5.884 9.337
angles (deg): 100.77 100.77 120.59
Fractional coordinates of all 11 atoms:
S (0.232, 0.232, 0.334)
Hg (0.251, 0.749, 0.000)
S (0.428, 0.082, 0.651)
Cr (0.348, 0.652, 0.500)
S (0.918, 0.572, 0.349)
S (0.082, 0.428, 0.651)
Cr (0.652, 0.348, 0.500)
S (0.572, 0.918, 0.349)
Hg (0.749, 0.251, 0.000)
S (0.768, 0.768, 0.666)
Pd (0.000, 0.000, 0.500)



Below is a geometry-optimized Sc2CrHgPd structure, with properties calculated at the GGA-PBE level.

Summary:
DFT formation energy = 766 meV/atom
Space group = P4/mmm

a b c (Å): 5.217 4.949 5.217
angles (deg): 90.00 90.00 90.00
Fractional coordinates of all 5 atoms:
Pd (0.500, 0.500, 0.500)
Sc (0.500, 0.000, 0.000)
Sc (0.000, 0.000, 0.500)
Hg (0.000, 0.000, 0.000)
Cr (0.000, 0.500, 0.000)



Below is a geometry-optimized Ta2CrHgPd structure, with properties calculated at the GGA-PBE level.

Summary:
DFT formation energy = 1812 meV/atom
Space group = P4/mmm

a b c (Å): 4.807 4.930 4.807
angles (deg): 90.00 90.00 90.00
Fractional coordinates of all 5 atoms:
Pd (0.000, 0.000, 0.000)
Cr (0.500, 0.500, 0.500)
Ta (0.500, 0.000, 0.000)
Hg (0.000, 0.500, 0.000)
Ta (0.000, 0.000, 0.500)



Below is a geometry-optimized V2CrHgPd structure, with properties calculated at the GGA-PBE level.

Summary:
DFT formation energy = 1716 meV/atom
Space group = P4/mmm

a b c (Å): 5.018 5.051 5.018
angles (deg): 90.00 90.00 90.00
Fractional coordinates of all 5 atoms:
Pd (0.000, 0.500, 0.000)
V (0.000, 0.000, 0.500)
Hg (0.000, 0.000, 0.000)
Cr (0.500, 0.500, 0.500)
V (0.500, 0.000, 0.000)



Below is a geometry-optimized CrHg4Pt structure, with properties calculated at the GGA-PBE level.

Summary:
DFT formation energy = 555 meV/atom
Space group = F-43m

a b c (Å): 5.657 5.657 5.657
angles (deg): 60.00 60.00 60.00
Fractional coordinates of all 6 atoms:
Cr (0.000, 0.000, 0.000)
Pt (0.750, 0.750, 0.750)
Hg (0.375, 0.375, 0.375)
Hg (0.875, 0.375, 0.375)
Hg (0.375, 0.875, 0.375)
Hg (0.375, 0.375, 0.875)



Below is a geometry-optimized CrHg2Pt structure, with properties calculated at the GGA-PBE level.

Summary:
Energy above the lowest structure with this stoichiometry = 0 meV/atom
DFT formation energy = 144 meV/atom
Space group = P4mm

a b c (Å): 3.070 3.070 8.051
angles (deg): 90.00 90.00 90.00
Fractional coordinates of all 4 atoms:
Cr (0.500, 0.500, 0.718)
Hg (0.500, 0.500, 0.277)
Hg (0.000, 0.000, 0.969)
Pt (0.000, 0.000, 0.536)



Below is a geometry-optimized CrHgPt2 structure, with properties calculated at the GGA-PBE level.

Summary:
DFT formation energy = -23 meV/atom
Space group = P4/mmm

a b c (Å): 4.118 4.116 3.912
angles (deg): 90.00 90.00 90.00
Fractional coordinates of all 4 atoms:
Pt (0.000, 0.000, 0.000)
Hg (0.000, 0.500, 0.500)
Pt (0.500, 0.500, 0.000)
Cr (0.500, 0.000, 0.500)



Below is a geometry-optimized Cr3HgPt structure, with properties calculated at the GGA-PBE level.

Summary:
Energy above the lowest structure with this stoichiometry = 0 meV/atom
DFT formation energy = 1014 meV/atom
Space group = Pm-3m

a b c (Å): 4.914 4.914 4.914
angles (deg): 90.00 90.00 90.00
Fractional coordinates of all 5 atoms:
Hg (0.500, 0.500, 0.500)
Pt (0.000, 0.000, 0.000)
Cr (0.000, 0.500, 0.000)
Cr (0.500, 0.000, 0.000)
Cr (0.000, 0.000, 0.500)



Below is a geometry-optimized CrHgPt2 structure, with properties calculated at the GGA-PBE level.

Summary:
DFT formation energy = 3 meV/atom
Space group = R-3m

a b c (Å): 9.245 9.245 9.245
angles (deg): 18.21 18.21 18.21
Fractional coordinates of all 4 atoms:
Pt (0.510, 0.510, 0.510)
Pt (0.990, 0.990, 0.990)
Hg (0.750, 0.750, 0.750)
Cr (0.250, 0.250, 0.250)



Below is a geometry-optimized CrHgPt2 structure, with properties calculated at the GGA-PBE level.

Summary:
DFT formation energy = 267 meV/atom
Space group = I-42d

a b c (Å): 7.258 7.258 5.822
angles (deg): 51.44 51.44 90.00
Fractional coordinates of all 8 atoms:
Pt (0.375, 0.406, 0.750)
Hg (0.750, 0.250, 0.500)
Pt (0.156, 0.625, 0.250)
Pt (0.594, 0.125, 0.250)
Cr (0.500, 0.500, 0.000)
Hg (0.000, 0.000, 0.000)
Cr (0.250, 0.750, 0.500)
Pt (0.875, 0.844, 0.750)



Below is a geometry-optimized CrHg2Pt structure, with properties calculated at the GGA-PBE level.

Summary:
Energy above the lowest structure with this stoichiometry = 117 meV/atom
DFT formation energy = 262 meV/atom
Space group = P4/mmm

a b c (Å): 3.133 3.133 7.511
angles (deg): 90.00 90.00 90.00
Fractional coordinates of all 4 atoms:
Hg (0.000, 0.000, 0.999)
Cr (0.500, 0.500, 0.750)
Hg (0.000, 0.000, 0.501)
Pt (0.500, 0.500, 0.250)



Below is a geometry-optimized CrHgPt2 structure, with properties calculated at the GGA-PBE level.

Summary:
DFT formation energy = 55 meV/atom
Space group = C2/m

a b c (Å): 4.822 4.822 5.026
angles (deg): 78.12 78.12 35.78
Fractional coordinates of all 4 atoms:
Pt (0.513, 0.513, 0.481)
Cr (0.250, 0.250, 0.250)
Hg (0.750, 0.750, 0.750)
Pt (0.987, 0.987, 0.019)